# Ba8Sr2Au | Alexandria | GGA-PBE | relaxed
# * energy: -46.822 eV per cell
# * magnetic moment: 0.000 μB/cell
data_Ba8Sr2Au
_cell_length_a 28.235
_cell_length_b 4.815
_cell_length_c 9.606
_cell_angle_alpha 90.00
_cell_angle_beta 99.81
_cell_angle_gamma 90.00
_space_group_name_H-M_alt 'C 1 2/m 1'
_space_group_IT_number 12
_space_group_name_Hall '-C 2y'
loop_
_atom_site_label
_atom_site_type_symbol
_atom_site_fract_x
_atom_site_fract_y
_atom_site_fract_z
Ba1 Ba 0.003 0.000 0.236
Ba2 Ba 0.105 0.500 0.561
Ba3 Ba 0.116 0.500 0.050
Ba4 Ba 0.203 0.000 0.363
Sr1 Sr 0.209 0.000 0.845
Au1 Au 0.000 0.500 0.000